P | # MgBP2

A relaxed structure of MgBP2 (PBE-GGA, Alexandria via LeMat-Bulk).

DOS(E_F) = 0.2168 states/eV/atom
magnetization = 0.000 μB/atom
symmetry = I-42d
calculated volume = 123 Å³/cell

Structure (POSCAR):
```
MgBP2
1.0
-2.9531 2.9531 3.5279
2.9531 -2.9531 3.5279
2.9531 2.9531 -3.5279
Mg B P
2 2 4
Direct
0.0000 0.0000 0.0000
0.7500 0.2500 0.5000
0.2500 0.7500 0.5000
0.5000 0.5000 0.0000
0.2122 0.1250 0.5872
0.3750 0.7878 0.9128
0.5378 0.6250 0.4128
0.8750 0.4622 0.0872
```


Q | # MgBP2

A relaxed structure of MgBP2 (PBE-GGA, Alexandria via LeMat-Bulk).

DOS(E_F) = 0.3514 states/eV/atom
magnetization = 0.000 μB/atom
symmetry = Fm-3m
calculated volume = 57 Å³/cell

Structure (POSCAR):
```
MgBP2
1.0
0.0000 3.0517 3.0517
3.0517 0.0000 3.0517
3.0517 3.0517 0.0000
Mg B P
1 1 2
Direct
0.0000 0.0000 0.0000
0.5000 0.5000 0.5000
0.2500 0.2500 0.2500
0.7500 0.7500 0.7500
```


P (1068 meV per atom below the next structure)


P | # MgB2P2

A relaxed structure of MgB2P2 (PBE-GGA, Alexandria via LeMat-Bulk).

DOS(E_F) = 0.2196 states/eV/atom
magnetization = 0.000 μB/atom
symmetry = P4/mbm
calculated volume = 118 Å³/cell

Structure (POSCAR):
```
MgB2P2
1.0
6.1732 0.0000 0.0000
0.0000 6.1732 0.0000
0.0000 0.0000 3.1064
Mg B P
2 4 4
Direct
0.0000 0.0000 0.0000
0.5000 0.5000 0.0000
0.1004 0.3996 0.0000
0.3996 0.8996 0.0000
0.6004 0.1004 0.0000
0.8996 0.6004 0.0000
0.1567 0.6567 0.5000
0.3433 0.1567 0.5000
0.6567 0.8433 0.5000
0.8433 0.3433 0.5000
```


Q | # MgB2P2

A relaxed structure of MgB2P2 (PBE-GGA, Alexandria via LeMat-Bulk).

DOS(E_F) = 0.2693 states/eV/atom
magnetization = 0.000 μB/atom
symmetry = I4/mmm
calculated volume = 60 Å³/cell

Structure (POSCAR):
```
MgB2P2
1.0
-2.0653 2.0653 3.4902
2.0653 -2.0653 3.4902
2.0653 2.0653 -3.4902
Mg B P
1 2 2
Direct
0.0000 0.0000 0.0000
0.3713 0.3713 0.0000
0.6287 0.6287 0.0000
0.2500 0.7500 0.5000
0.7500 0.2500 0.5000
```


Q (274 meV per atom below the next structure)


P | # Mg2B2Pb

A relaxed structure of Mg2B2Pb (PBE-GGA, Alexandria via LeMat-Bulk).

DOS(E_F) = 0.3117 states/eV/atom
magnetization = 0.000 μB/atom
symmetry = I4/mmm
calculated volume = 82 Å³/cell

Structure (POSCAR):
```
Mg2B2Pb
1.0
-2.0632 2.0632 4.8441
2.0632 -2.0632 4.8441
2.0632 2.0632 -4.8441
Mg B Pb
2 2 1
Direct
0.2500 0.7500 0.5000
0.7500 0.2500 0.5000
0.0836 0.0836 0.0000
0.9164 0.9164 0.0000
0.5000 0.5000 0.0000
```


Q | # Mg2B2Pb

A relaxed structure of Mg2B2Pb (PBE-GGA, Alexandria via LeMat-Bulk).

DOS(E_F) = 0.4476 states/eV/atom
magnetization = 0.000 μB/atom
symmetry = P4/mbm
calculated volume = 167 Å³/cell

Structure (POSCAR):
```
Mg2B2Pb
1.0
7.5493 0.0000 0.0000
0.0000 7.5493 0.0000
0.0000 0.0000 2.9363
Mg B Pb
4 4 2
Direct
0.1306 0.3694 0.0000
0.3694 0.8694 0.0000
0.6306 0.1306 0.0000
0.8694 0.6306 0.0000
0.1673 0.6673 0.5000
0.3327 0.1673 0.5000
0.6673 0.8327 0.5000
0.8327 0.3327 0.5000
0.0000 0.0000 0.0000
0.5000 0.5000 0.0000
```


P (524 meV per atom below the next structure)


P | # MgB3Pb

A relaxed structure of MgB3Pb (PBE-GGA, Alexandria via LeMat-Bulk).

DOS(E_F) = 0.6697 states/eV/atom
magnetization = 0.000 μB/atom
symmetry = Pm-3m
calculated volume = 88 Å³/cell

Structure (POSCAR):
```
MgB3Pb
1.0
4.4494 0.0000 0.0000
0.0000 4.4494 0.0000
0.0000 0.0000 4.4494
Mg B Pb
1 3 1
Direct
0.0000 0.0000 0.0000
0.0000 0.0000 0.5000
0.0000 0.5000 0.0000
0.5000 0.0000 0.0000
0.5000 0.5000 0.5000
```


Q | # MgB3Pb

A relaxed structure of MgB3Pb (PBE-GGA, Alexandria via LeMat-Bulk).

DOS(E_F) = 0.6063 states/eV/atom
magnetization = 0.000 μB/atom
symmetry = Pm-3m
calculated volume = 103 Å³/cell

Structure (POSCAR):
```
MgB3Pb
1.0
4.6835 0.0000 0.0000
0.0000 4.6835 0.0000
0.0000 0.0000 4.6835
Mg B Pb
1 3 1
Direct
0.0000 0.0000 0.0000
0.0000 0.5000 0.5000
0.5000 0.0000 0.5000
0.5000 0.5000 0.0000
0.5000 0.5000 0.5000
```


P (302 meV per atom below the next structure)


P | # Mg2BPb

A relaxed structure of Mg2BPb (PBE-GGA, Alexandria via LeMat-Bulk).

DOS(E_F) = 0.4801 states/eV/atom
magnetization = 0.000 μB/atom
symmetry = I-42d
calculated volume = 173 Å³/cell

Structure (POSCAR):
```
Mg2BPb
1.0
-2.2583 2.2583 8.4981
2.2583 -2.2583 8.4981
2.2583 2.2583 -8.4981
Mg B Pb
4 2 2
Direct
0.0574 0.6250 0.9324
0.3750 0.3074 0.4324
0.6926 0.1250 0.0676
0.8750 0.9426 0.5676
0.0000 0.0000 0.0000
0.7500 0.2500 0.5000
0.2500 0.7500 0.5000
0.5000 0.5000 0.0000
```


Q | # Mg2BPb

A relaxed structure of Mg2BPb (PBE-GGA, Alexandria via LeMat-Bulk).

DOS(E_F) = 0.5643 states/eV/atom
magnetization = 0.000 μB/atom
symmetry = Fm-3m
calculated volume = 79 Å³/cell

Structure (POSCAR):
```
Mg2BPb
1.0
0.0000 3.3998 3.3998
3.3998 0.0000 3.3998
3.3998 3.3998 0.0000
Mg B Pb
2 1 1
Direct
0.2500 0.2500 0.2500
0.7500 0.7500 0.7500
0.0000 0.0000 0.0000
0.5000 0.5000 0.5000
```


Q (49 meV per atom below the next structure)


P | # Mg3BPb

A relaxed structure of Mg3BPb (PBE-GGA, Alexandria via LeMat-Bulk).

DOS(E_F) = 0.5605 states/eV/atom
magnetization = 0.000 μB/atom
symmetry = Pm-3m
calculated volume = 102 Å³/cell

Structure (POSCAR):
```
Mg3BPb
1.0
4.6732 0.0000 0.0000
0.0000 4.6732 0.0000
0.0000 0.0000 4.6732
Mg B Pb
3 1 1
Direct
0.0000 0.0000 0.5000
0.0000 0.5000 0.0000
0.5000 0.0000 0.0000
0.0000 0.0000 0.0000
0.5000 0.5000 0.5000
```


Q | # Mg3BPb

A relaxed structure of Mg3BPb (PBE-GGA, Alexandria via LeMat-Bulk).

DOS(E_F) = 0.8774 states/eV/atom
magnetization = 0.000 μB/atom
symmetry = Pm-3m
calculated volume = 155 Å³/cell

Structure (POSCAR):
```
Mg3BPb
1.0
5.3715 0.0000 0.0000
0.0000 5.3715 0.0000
0.0000 0.0000 5.3715
Mg B Pb
3 1 1
Direct
0.0000 0.0000 0.5000
0.0000 0.5000 0.0000
0.5000 0.0000 0.0000
0.5000 0.5000 0.5000
0.0000 0.0000 0.0000
```


P (1104 meV per atom below the next structure)